Run A
First-principles (PBEsol) data for crystalline MgC at its relaxed geometry, as listed in Alexandria.

```
MgC
1.0
-1.9130 3.9369 0.7463
-0.3763 -1.0032 4.3275
4.0055 1.8012 0.7659
Mg C
3 3
direct
0.0000 0.0000 0.5000 Mg
0.5000 0.5000 0.5000 Mg
0.0000 0.5000 0.0000 Mg
0.5000 0.5000 0.0000 C
0.0000 0.5000 0.5000 C
0.5000 0.0000 0.5000 C
```

Values from the calculation:
**Total moment**: 0.001 μB/cell
**Density**: 2.05 g cm⁻³

Run B
First-principles (PBEsol) data for crystalline MgC at its relaxed geometry, as listed in Alexandria.

```
MgC
1.0
-3.4136 -1.4976 -2.3673
2.5926 -3.1022 -1.7759
-1.0608 -2.7627 3.2774
C Mg
3 3
direct
0.0000 0.5000 0.5000 C
0.5000 0.0000 0.5000 C
0.5000 0.5000 0.0000 C
0.0000 0.5000 0.0000 Mg
0.5000 0.0000 0.0000 Mg
0.0000 0.0000 0.5000 Mg
```

Values from the calculation:
**Total moment**: 0.001 μB/cell
**Density**: 2.10 g cm⁻³

Run C
First-principles (PBEsol) data for crystalline MgC at its relaxed geometry, as listed in Alexandria.

```
MgC
1.0
2.6153 0.0000 0.0000
0.0000 3.1138 0.0000
0.0000 -1.5569 5.9439
C Mg
2 2
direct
0.7500 0.5298 0.0597 C
0.2500 0.4702 0.9403 C
0.2500 0.1341 0.2683 Mg
0.7500 0.8659 0.7317 Mg
```

Values from the calculation:
**Total moment**: 0.000 μB/cell
**Density**: 2.49 g cm⁻³

Stability check: which of them is least stable? run B.

Run A
First-principles (PBEsol) data for crystalline MgC2 at its relaxed geometry, as listed in Alexandria.

```
MgC2
1.0
-1.2173 2.2698 0.2993
-2.5790 0.0635 0.2608
-0.7354 0.3575 5.5305
Mg C
1 2
direct
0.0000 0.0000 0.0000 Mg
0.1678 0.1678 0.4966 C
0.8322 0.8322 0.5034 C
```

Values from the calculation:
**Total moment**: 0.000 μB/cell
**Density**: 2.56 g cm⁻³

Run B
First-principles (PBEsol) data for crystalline MgC2 at its relaxed geometry, as listed in Alexandria.

```
MgC2
1.0
2.3652 0.0000 0.0000
0.0000 5.7053 0.0000
0.0000 0.0000 5.7053
C Mg
4 2
direct
0.5000 0.7332 0.2668 C
0.0000 0.2332 0.2332 C
0.0000 0.7668 0.7668 C
0.5000 0.2668 0.7332 C
0.5000 0.0000 0.0000 Mg
0.0000 0.5000 0.5000 Mg
```

Values from the calculation:
**Total moment**: 0.004 μB/cell
**Density**: 2.08 g cm⁻³

Stability check: which of them is least stable? run B.

Run A
First-principles (PBEsol) data for crystalline MgC2 at its relaxed geometry, as listed in Alexandria.

```
MgC2
1.0
3.5860 0.0000 0.0000
-1.7930 3.1056 0.0000
0.0000 0.0000 11.9501
C Mg
6 3
direct
0.0000 0.0000 0.0532 C
0.6667 0.3333 0.6869 C
0.6667 0.3333 0.5825 C
0.3333 0.6667 0.4175 C
0.3333 0.6667 0.3131 C
0.0000 0.0000 0.9468 C
0.6667 0.3333 0.8580 Mg
0.3333 0.6667 0.1420 Mg
0.0000 0.0000 0.5000 Mg
```

Values from the calculation:
**Total moment**: 0.000 μB/cell
**Density**: 1.81 g cm⁻³

Run B
First-principles (PBEsol) data for crystalline MgC2 at its relaxed geometry, as listed in Alexandria.

```
MgC2
1.0
-1.1887 -2.2645 -0.4295
1.3474 0.3631 2.1859
-8.8417 3.7251 4.8313
Mg C
2 4
direct
0.3333 0.6667 0.7500 Mg
0.6667 0.3333 0.2500 Mg
0.3333 0.6667 0.0017 C
0.6667 0.3333 0.5017 C
0.6667 0.3333 0.9983 C
0.3333 0.6667 0.4983 C
```

Values from the calculation:
**Total moment**: 0.000 μB/cell
**Density**: 2.57 g cm⁻³

Stability check: which of them is least stable? run A.

Run A
First-principles (PBEsol) data for crystalline MgC2 at its relaxed geometry, as listed in Alexandria.

```
MgC2
1.0
4.5940 0.0021 0.0032
-1.9430 4.1629 -0.0032
-1.9430 -1.6894 3.8046
Mg C
2 4
direct
0.0000 0.2500 0.2500 Mg
0.0000 0.7500 0.7500 Mg
0.5000 0.5904 0.9096 C
0.3191 0.9096 0.4096 C
0.5000 0.4096 0.0904 C
0.6809 0.0904 0.5904 C
```

Values from the calculation:
**Total moment**: 0.012 μB/cell
**Density**: 2.20 g cm⁻³

Run B
First-principles (PBEsol) data for crystalline MgC2 at its relaxed geometry, as listed in Alexandria.

```
MgC2
1.0
-1.9809 -2.4915 0.7990
1.2824 -2.3830 2.4883
-2.2124 0.5241 2.8889
C Mg
2 1
direct
0.5000 0.3623 0.6377 C
0.5000 0.6377 0.3623 C
0.0000 0.0000 0.0000 Mg
```

Values from the calculation:
**Total moment**: 0.000 μB/cell
**Density**: 2.26 g cm⁻³

Stability check: which of them is least stable? run A.

Run A
First-principles (PBEsol) data for crystalline MgC4 at its relaxed geometry, as listed in Alexandria.

```
MgC4
1.0
-0.8080 -1.4121 -2.8350
-0.3558 -2.8668 1.5294
-3.0181 2.9249 1.2877
C Mg
4 1
direct
0.3011 0.3011 0.6023 C
0.6989 0.6989 0.3977 C
0.7500 0.2500 0.5000 C
0.2500 0.7500 0.5000 C
0.0000 0.0000 0.0000 Mg
```

Values from the calculation:
**Total moment**: 0.000 μB/cell
**Density**: 3.01 g cm⁻³

Run B
First-principles (PBEsol) data for crystalline MgC4 at its relaxed geometry, as listed in Alexandria.

```
MgC4
1.0
2.6254 0.0000 0.0000
-1.3127 2.2737 0.0000
0.0000 0.0000 6.5982
C Mg
4 1
direct
0.3333 0.6667 0.4557 C
0.6667 0.3333 0.7647 C
0.3333 0.6667 0.2353 C
0.6667 0.3333 0.5443 C
0.0000 0.0000 0.0000 Mg
```

Values from the calculation:
**Total moment**: 0.000 μB/cell
**Density**: 3.05 g cm⁻³

Stability check: which of them is least stable? run A.

Run A
First-principles (PBEsol) data for crystalline MnC2 at its relaxed geometry, as listed in Alexandria.

```
MnC2
1.0
-1.1011 1.6930 -1.4617
-2.8072 -3.3618 -1.7791
-3.1792 0.8601 3.3912
Mn C
2 4
direct
0.0000 0.5000 0.5000 Mn
0.5000 0.0000 0.0000 Mn
0.5000 0.7146 0.2854 C
0.0000 0.2146 0.2146 C
0.5000 0.2854 0.7146 C
0.0000 0.7854 0.7854 C
```

Values from the calculation:
**Total moment**: 0.011 μB/cell
**Density**: 4.71 g cm⁻³

Run B
First-principles (PBEsol) data for crystalline MnC2 at its relaxed geometry, as listed in Alexandria.

```
MnC2
1.0
2.6636 0.0000 0.0000
0.0000 5.2687 0.0000
0.0000 -2.6344 4.5629
Mn C
3 6
direct
0.5000 0.0000 0.0000 Mn
0.0000 0.3333 0.6667 Mn
0.0000 0.6667 0.3333 Mn
0.0000 0.7293 0.7293 C
0.0000 0.0000 0.2707 C
0.5000 0.3726 0.3726 C
0.0000 0.2707 0.0000 C
0.5000 0.6274 0.0000 C
0.5000 0.0000 0.6274 C
```

Values from the calculation:
**Total moment**: 0.000 μB/cell
**Density**: 6.14 g cm⁻³

Stability check: which of them is least stable? run A.

Run A
First-principles (PBEsol) data for crystalline MnC2 at its relaxed geometry, as listed in Alexandria.

```
MnC2
1.0
2.5414 0.0000 0.0000
1.2707 2.2009 0.0000
1.2707 0.7336 3.8941
Mn C
1 2
direct
0.0000 0.0000 0.0000 Mn
0.8177 0.8177 0.5470 C
0.1823 0.1823 0.4530 C
```

Values from the calculation:
**Total moment**: 2.075 μB/cell
**Density**: 6.02 g cm⁻³

Run B
First-principles (PBEsol) data for crystalline MnC2 at its relaxed geometry, as listed in Alexandria.

```
MnC2
1.0
-1.2578 -2.1598 -0.1172
3.4206 -1.9134 -1.4503
1.8953 0.1211 4.1372
C Mn
4 2
direct
0.3418 0.3767 0.6836 C
0.3706 0.7180 0.7413 C
0.5461 0.7583 0.0923 C
0.1013 0.9126 0.2027 C
0.0327 0.3523 0.0654 Mn
0.7740 0.0487 0.5481 Mn
```

Values from the calculation:
**Total moment**: 1.485 μB/cell
**Density**: 5.73 g cm⁻³

Stability check: which of them is least stable? run B.

Run A
First-principles (PBEsol) data for crystalline MnMoC2 at its relaxed geometry, as listed in Alexandria.

```
MnMoC2
1.0
3.6592 0.0000 0.0000
1.8296 3.1689 0.0000
1.8296 1.0563 2.9877
C Mn Mo
2 1 1
direct
0.7500 0.7500 0.7500 C
0.2500 0.2500 0.2500 C
0.0000 0.0000 0.0000 Mn
0.5000 0.5000 0.5000 Mo
```

Values from the calculation:
**Total moment**: 1.155 μB/cell
**Density**: 8.38 g cm⁻³

Run B
First-principles (PBEsol) data for crystalline MnMoC2 at its relaxed geometry, as listed in Alexandria.

```
MnMoC2
1.0
-3.3567 -2.9102 -0.6660
2.7550 -3.4057 0.9959
-0.8419 3.4915 4.1372
C Mo Mn
4 2 2
direct
0.1250 0.1470 0.7500 C
0.8530 0.3750 0.2500 C
0.3970 0.8750 0.2500 C
0.6250 0.6030 0.7500 C
0.0000 0.0000 0.0000 Mo
0.2500 0.7500 0.5000 Mo
0.7500 0.2500 0.5000 Mn
0.5000 0.5000 0.0000 Mn
```

Values from the calculation:
**Total moment**: 3.868 μB/cell
**Density**: 6.45 g cm⁻³

Stability check: which of them is least stable? run A.

Run A
First-principles (PBEsol) data for crystalline NaMnPCO7 at its relaxed geometry, as listed in Alexandria.

```
NaMnPCO7
1.0
-5.8351 -4.9526 -2.3886
6.2168 -4.2709 -1.5733
0.0744 0.9104 10.6052
O P Na Mn C
28 4 4 4 4
direct
0.8851 0.5662 0.5762 O
0.6898 0.9188 0.9784 O
0.3921 0.0636 0.5720 O
0.2384 0.8048 0.3276 O
0.7493 0.5345 0.7848 O
0.9061 0.1781 0.1605 O
0.7492 0.9697 0.2124 O
0.7515 0.3219 0.3269 O
0.3102 0.0812 0.0216 O
0.2485 0.6781 0.6731 O
0.6079 0.9364 0.4280 O
0.3759 0.4174 0.6378 O
0.2508 0.0303 0.7876 O
0.3940 0.6799 0.1600 O
0.6241 0.5826 0.3622 O
0.5635 0.3339 0.4751 O
0.0939 0.8219 0.8395 O
0.6060 0.3201 0.8400 O
0.7616 0.1952 0.6724 O
0.8760 0.9228 0.6388 O
0.1149 0.4338 0.4238 O
0.9318 0.1623 0.5176 O
0.8309 0.5750 0.0203 O
0.0682 0.8377 0.4824 O
0.2507 0.4655 0.2152 O
0.1691 0.4250 0.9797 O
0.1240 0.0772 0.3612 O
0.4365 0.6661 0.5249 O
0.7910 0.0498 0.5586 P
0.7070 0.4528 0.4392 P
0.2930 0.5472 0.5608 P
0.2090 0.9502 0.4414 P
0.7279 0.8356 0.7778 Na
0.2721 0.1644 0.2222 Na
0.9403 0.5177 0.2242 Na
0.0597 0.4823 0.7758 Na
0.5640 0.3034 0.6510 Mn
0.0680 0.8083 0.6521 Mn
0.9320 0.1917 0.3479 Mn
0.4360 0.6966 0.3490 Mn
0.2645 0.5163 0.1061 C
0.7721 0.0125 0.1052 C
0.2279 0.9875 0.8948 C
0.7355 0.4837 0.8939 C
```

Values from the calculation:
**Total moment**: 11.999 μB/cell
**Density**: 2.72 g cm⁻³

Run B
First-principles (PBEsol) data for crystalline NaMnPCO7 at its relaxed geometry, as listed in Alexandria.

```
NaMnPCO7
1.0
-3.4601 5.1270 -5.0858
4.0148 -4.6646 -5.1231
-7.4189 -5.6812 4.6248
O P Mn C Na
28 4 4 4 4
direct
0.9238 0.2265 0.6691 O
0.3926 0.9054 0.1461 O
0.7803 0.7803 0.7885 O
0.2753 0.2753 0.8125 O
0.9249 0.4228 0.5215 O
0.5697 0.5697 0.4734 O
0.8511 0.8511 0.5565 O
0.4228 0.9249 0.5215 O
0.3204 0.3204 0.0500 O
0.1349 0.6510 0.4214 O
0.1528 0.6557 0.9564 O
0.8640 0.8640 0.0374 O
0.0847 0.0847 0.8473 O
0.7547 0.5554 0.3210 O
0.1052 0.2993 0.3483 O
0.2078 0.7374 0.2001 O
0.5554 0.7547 0.3210 O
0.6557 0.1528 0.9564 O
0.6510 0.1349 0.4214 O
0.0811 0.0811 0.4823 O
0.2993 0.1052 0.3483 O
0.7154 0.4089 0.6602 O
0.3607 0.3607 0.5953 O
0.9054 0.3926 0.1461 O
0.7374 0.2078 0.2001 O
0.6129 0.6129 0.8558 O
0.4089 0.7154 0.6602 O
0.2265 0.9238 0.6691 O
0.6909 0.6909 0.4234 P
0.2958 0.8013 0.5641 P
0.2092 0.2092 0.4458 P
0.8013 0.2958 0.5641 P
0.5743 0.5743 0.6565 Mn
0.0620 0.0620 0.6549 Mn
0.9320 0.4304 0.3438 Mn
0.4304 0.9320 0.3438 Mn
0.2322 0.2322 0.9134 C
0.7590 0.2413 0.0885 C
0.7643 0.7643 0.9083 C
0.2413 0.7590 0.0885 C
0.5693 0.2727 0.7875 Na
0.4702 0.2203 0.2213 Na
0.2203 0.4702 0.2213 Na
0.2727 0.5693 0.7875 Na
```

Values from the calculation:
**Total moment**: 11.935 μB/cell
**Density**: 2.73 g cm⁻³

Stability check: which of them is least stable? run B.

Run A
First-principles (PBEsol) data for crystalline Mo3C at its relaxed geometry, as listed in Alexandria.

```
Mo3C
1.0
2.9326 0.0000 0.0000
0.0000 4.6404 -0.0026
-1.4663 -2.1830 3.8603
Mo C
3 1
direct
0.3087 0.8082 0.6175 Mo
0.6913 0.1918 0.3825 Mo
0.5000 0.5000 0.0000 Mo
0.0000 0.0000 0.0000 C
```

Values from the calculation:
**Total moment**: 0.000 μB/cell
**Density**: 9.48 g cm⁻³

Run B
First-principles (PBEsol) data for crystalline Mo3C at its relaxed geometry, as listed in Alexandria.

```
Mo3C
1.0
3.0748 0.0000 0.0000
0.0000 4.1683 0.0192
0.0000 -1.0224 4.0410
Mo C
3 1
direct
0.5000 0.5000 0.0000 Mo
0.0000 0.5000 0.5000 Mo
0.5000 0.0000 0.5000 Mo
0.0000 0.0000 0.0000 C
```

Values from the calculation:
**Total moment**: 0.000 μB/cell
**Density**: 9.60 g cm⁻³

Stability check: which of them is least stable? run B.

Run A
First-principles (PBEsol) data for crystalline MoC3 at its relaxed geometry, as listed in Alexandria.

```
MoC3
1.0
2.5357 0.0000 0.0000
1.2678 3.6595 0.0160
1.2678 1.4401 3.3643
C Mo
3 1
direct
0.5000 0.0000 0.0000 C
0.1803 0.8197 0.8197 C
0.8197 0.1803 0.1803 C
0.0000 0.5000 0.5000 Mo
```

Values from the calculation:
**Total moment**: 0.000 μB/cell
**Density**: 7.03 g cm⁻³

Run B
First-principles (PBEsol) data for crystalline MoC3 at its relaxed geometry, as listed in Alexandria.

```
MoC3
1.0
-1.4958 -1.7111 -1.0846
1.6875 -2.9855 2.3827
-5.8581 2.6812 3.8492
C Mo
6 2
direct
0.2500 0.4268 0.5163 C
0.7500 0.0251 0.0503 C
0.2500 0.9749 0.9497 C
0.2500 0.0895 0.5163 C
0.7500 0.5732 0.4837 C
0.7500 0.9105 0.4837 C
0.7500 0.5891 0.1782 Mo
0.2500 0.4109 0.8218 Mo
```

Values from the calculation:
**Total moment**: 0.000 μB/cell
**Density**: 5.78 g cm⁻³

Stability check: which of them is least stable? run A.